# 1
Entry from Alexandria via LeMat-Bulk: Cu2Ni5Rh after structural relaxation (PBE).

The structure in POSCAR format:
```
Cu2Ni5Rh
1.0
6.231 0.000 0.000
0.000 6.231 0.000
-3.116 -3.116 4.988
Ni Cu Rh
10 4 2
direct
0.018 0.518 0.332
0.518 0.313 0.332
0.313 0.813 0.332
0.482 0.687 0.668
0.813 0.018 0.332
0.500 0.500 0.000
0.687 0.187 0.668
0.982 0.482 0.668
0.187 0.982 0.668
0.000 0.000 0.000
0.855 0.645 0.000
0.145 0.355 0.000
0.645 0.145 0.000
0.355 0.855 0.000
0.750 0.750 0.500
0.250 0.250 0.500
```

Calculated density   8.98 Mg/m³
Calculated volume   194 Å³ per cell
ΔE_f   0.24 eV/atom

# 2
Entry from Alexandria via LeMat-Bulk: Cu5Ni2Rh4 after structural relaxation (PBE).

The structure in POSCAR format:
```
Cu5Ni2Rh4
1.0
2.632 0.000 0.000
0.000 5.835 -0.045
-1.316 -1.851 9.736
Cu Ni Rh
5 2 4
direct
0.500 0.000 0.000
0.104 0.133 0.208
0.805 0.101 0.609
0.195 0.899 0.391
0.896 0.867 0.792
0.772 0.676 0.543
0.228 0.324 0.457
0.357 0.483 0.714
0.952 0.327 0.904
0.048 0.673 0.096
0.643 0.517 0.286
```

Calculated density   9.42 Mg/m³
Calculated volume   149 Å³ per cell
ΔE_f   0.24 eV/atom

# 3
Entry from Alexandria via LeMat-Bulk: Cu2NiRh after structural relaxation (PBE).

The structure in POSCAR format:
```
Cu2NiRh
1.0
-2.452 -2.508 2.768
2.716 -1.791 3.063
-0.508 4.223 -1.370
Ni Cu Rh
1 2 1
direct
0.500 0.500 0.000
0.000 0.000 0.000
0.250 0.750 0.500
0.750 0.250 0.500
```

Calculated density   9.69 Mg/m³
Calculated volume   49 Å³ per cell
ΔE_f   0.06 eV/atom

# 4
Entry from Alexandria via LeMat-Bulk: CuNi5Rh4 after structural relaxation (PBE).

The structure in POSCAR format:
```
CuNi5Rh4
1.0
4.248 0.000 0.000
2.124 5.548 0.000
2.124 0.000 5.548
Ni Rh Cu
5 4 1
direct
0.755 0.376 0.000
0.131 0.000 0.624
0.699 0.000 0.000
0.132 0.624 0.000
0.755 0.000 0.376
0.131 0.326 0.326
0.783 0.674 0.674
0.457 0.674 0.326
0.457 0.326 0.674
0.211 0.000 0.000
```

Calculated density   9.76 Mg/m³
Calculated volume   131 Å³ per cell
ΔE_f   0.30 eV/atom

# 5
Entry from Alexandria via LeMat-Bulk: Cu2NiRh after structural relaxation (PBE).

The structure in POSCAR format:
```
Cu2NiRh
1.0
8.529 -0.005 -0.003
8.129 2.581 -0.003
8.129 1.257 2.254
Ni Rh Cu
1 1 2
direct
0.250 0.250 0.250
0.750 0.750 0.750
0.504 0.504 0.504
0.996 0.996 0.996
```

Calculated density   9.63 Mg/m³
Calculated volume   50 Å³ per cell
ΔE_f   0.07 eV/atom

# 6
Entry from Alexandria via LeMat-Bulk: Cu2NiRh after structural relaxation (PBE).

The structure in POSCAR format:
```
Cu2NiRh
1.0
4.532 -0.015 0.000
1.618 4.234 0.000
-3.075 -2.110 2.576
Cu Ni Rh
2 1 1
direct
0.000 0.000 0.000
0.500 0.500 0.000
0.250 0.750 0.500
0.750 0.250 0.500
```

Calculated density   9.69 Mg/m³
Calculated volume   49 Å³ per cell
ΔE_f   0.09 eV/atom

# 7
Entry from Alexandria via LeMat-Bulk: Cu6Ni2Rh3 after structural relaxation (PBE).

The structure in POSCAR format:
```
Cu6Ni2Rh3
1.0
4.354 0.000 1.215
2.249 3.904 0.350
-2.360 -2.719 16.875
Rh Cu Ni
6 12 4
direct
0.917 0.917 0.750
0.750 0.750 0.250
0.584 0.583 0.750
0.083 0.083 0.250
0.416 0.417 0.250
0.250 0.250 0.750
0.618 0.550 0.383
0.786 0.382 0.883
0.550 0.950 0.117
0.882 0.286 0.117
0.051 0.118 0.617
0.450 0.050 0.883
0.118 0.714 0.883
0.382 0.450 0.617
0.714 0.786 0.617
0.214 0.618 0.117
0.286 0.214 0.383
0.949 0.882 0.383
0.333 0.833 0.000
0.667 0.167 0.000
0.833 0.333 0.500
0.167 0.667 0.500
```

Calculated density   9.10 Mg/m³
Calculated volume   295 Å³ per cell
ΔE_f   0.21 eV/atom

# 8
Entry from Alexandria via LeMat-Bulk: CuNi8Rh2 after structural relaxation (PBE).

The structure in POSCAR format:
```
CuNi8Rh2
1.0
4.108 1.423 0.000
2.379 6.111 0.000
1.190 3.055 6.283
Ni Cu Rh
8 1 2
direct
0.500 0.804 0.392
0.720 0.534 0.000
0.500 0.196 0.608
0.231 0.895 0.731
0.769 0.374 0.731
0.231 0.626 0.269
0.280 0.466 0.000
0.769 0.105 0.269
0.500 0.000 0.000
0.000 0.315 0.370
0.000 0.685 0.630
```

Calculated density   8.99 Mg/m³
Calculated volume   136 Å³ per cell
ΔE_f   0.22 eV/atom

# 9
Entry from Alexandria via LeMat-Bulk: Cu2NiRh after structural relaxation (PBE).

The structure in POSCAR format:
```
Cu2NiRh
1.0
-2.562 0.124 0.477
-1.531 -2.039 -0.554
-0.067 -3.723 7.738
Cu Ni Rh
2 1 1
direct
0.080 0.080 0.761
0.254 0.254 0.239
0.667 0.667 0.000
0.500 0.500 0.500
```

Calculated density   9.62 Mg/m³
Calculated volume   50 Å³ per cell
ΔE_f   0.08 eV/atom

# 10
Entry from Alexandria via LeMat-Bulk: Cu2NiRh after structural relaxation (PBE).

The structure in POSCAR format:
```
Cu2NiRh
1.0
4.909 0.052 0.080
2.235 4.371 -0.080
-3.073 -3.018 2.358
Rh Cu Ni
1 2 1
direct
0.254 0.754 0.500
0.992 0.992 0.000
0.748 0.248 0.500
0.506 0.506 0.000
```

Calculated density   9.65 Mg/m³
Calculated volume   50 Å³ per cell
ΔE_f   0.11 eV/atom

# 11
Entry from Alexandria via LeMat-Bulk: Cu5NiRh2 after structural relaxation (PBE).

The structure in POSCAR format:
```
Cu5NiRh2
1.0
-2.306 0.886 -0.642
0.873 -3.241 -7.602
-1.299 -2.958 5.654
Cu Rh Ni
5 2 1
direct
0.626 0.855 0.252
0.626 0.398 0.252
0.374 0.602 0.748
0.374 0.145 0.748
0.000 0.500 0.000
0.265 0.765 0.530
0.735 0.235 0.470
0.000 0.000 0.000
```

Calculated density   9.40 Mg/m³
Calculated volume   103 Å³ per cell
ΔE_f   0.16 eV/atom

# 12
Entry from Alexandria via LeMat-Bulk: CuNi4Rh4 after structural relaxation (PBE).

The structure in POSCAR format:
```
CuNi4Rh4
1.0
3.341 0.000 1.528
1.670 5.579 0.764
-0.650 0.000 5.838
Ni Rh Cu
4 4 1
direct
0.000 0.661 0.339
0.661 0.339 0.339
0.339 0.661 0.661
0.000 0.339 0.661
0.668 0.000 0.665
0.332 0.335 0.000
0.332 0.000 0.335
0.668 0.665 0.000
0.000 0.000 0.000
```

Calculated density   10.31 Mg/m³
Calculated volume   114 Å³ per cell
ΔE_f   0.05 eV/atom

# 13
Entry from Alexandria via LeMat-Bulk: CuNi2Rh2 after structural relaxation (PBE).

The structure in POSCAR format:
```
CuNi2Rh2
1.0
-1.678 0.772 3.760
1.729 -1.645 3.443
2.471 3.116 2.797
Ni Rh Cu
2 2 1
direct
0.597 0.097 0.209
0.403 0.903 0.791
0.207 0.707 0.378
0.793 0.293 0.622
0.000 0.500 0.000
```

Calculated density   10.02 Mg/m³
Calculated volume   64 Å³ per cell
ΔE_f   0.20 eV/atom

# 14
Entry from Alexandria via LeMat-Bulk: Cu2NiRh after structural relaxation (PBE).

The structure in POSCAR format:
```
Cu2NiRh
1.0
4.250 0.000 0.000
0.000 5.154 0.054
0.000 -2.528 4.492
Ni Cu Rh
2 4 2
direct
0.250 0.768 0.103
0.750 0.103 0.768
0.250 0.272 0.100
0.750 0.596 0.267
0.250 0.267 0.596
0.750 0.100 0.272
0.250 0.777 0.603
0.750 0.603 0.777
```

Calculated density   9.69 Mg/m³
Calculated volume   99 Å³ per cell
ΔE_f   0.06 eV/atom

# 15
Entry from Alexandria via LeMat-Bulk: Cu2NiRh after structural relaxation (PBE).

The structure in POSCAR format:
```
Cu2NiRh
1.0
-0.232 -2.559 0.110
1.993 0.936 -1.330
4.802 -0.130 7.104
Cu Ni Rh
2 1 1
direct
0.500 0.500 0.253
0.000 0.000 0.008
0.000 0.000 0.493
0.500 0.500 0.746
```

Calculated density   9.49 Mg/m³
Calculated volume   51 Å³ per cell
ΔE_f   0.14 eV/atom

# 16
Entry from Alexandria via LeMat-Bulk: CuNi6Rh3 after structural relaxation (PBE).

The structure in POSCAR format:
```
CuNi6Rh3
1.0
6.775 0.000 0.000
0.000 6.141 0.385
0.000 -0.555 6.128
Ni Rh Cu
12 6 2
direct
0.780 0.945 0.478
0.759 0.160 0.160
0.780 0.478 0.945
0.280 0.522 0.055
0.308 0.686 0.412
0.358 0.122 0.122
0.808 0.314 0.588
0.280 0.055 0.522
0.308 0.412 0.686
0.259 0.840 0.840
0.808 0.588 0.314
0.858 0.878 0.878
0.560 0.789 0.111
0.089 0.326 0.326
0.060 0.211 0.889
0.060 0.889 0.211
0.589 0.674 0.674
0.560 0.111 0.789
0.513 0.367 0.367
0.013 0.633 0.633
```

Calculated density   9.38 Mg/m³
Calculated volume   256 Å³ per cell
ΔE_f   0.24 eV/atom

# 17
Entry from Alexandria via LeMat-Bulk: CuNi2Rh6 after structural relaxation (PBE).

The structure in POSCAR format:
```
CuNi2Rh6
1.0
3.768 0.000 -1.292
-0.665 4.813 -1.941
0.292 0.016 6.994
Rh Ni Cu
6 2 1
direct
0.204 0.204 0.408
0.796 0.796 0.592
0.601 0.352 0.203
0.601 0.851 0.203
0.399 0.648 0.797
0.399 0.149 0.797
0.828 0.328 0.656
0.172 0.672 0.344
0.000 0.000 0.000
```

Calculated density   10.29 Mg/m³
Calculated volume   129 Å³ per cell
ΔE_f   0.25 eV/atom

# 18
Entry from Alexandria via LeMat-Bulk: Cu2Ni15Rh2 after structural relaxation (PBE).

The structure in POSCAR format:
```
Cu2Ni15Rh2
1.0
-2.910 -4.155 -3.587
1.504 -5.141 3.148
-5.213 -0.593 3.328
Ni Rh Cu
15 2 2
direct
0.000 0.500 0.000
0.319 0.000 0.681
0.000 0.319 0.681
0.835 0.344 0.344
0.319 0.681 0.000
0.681 0.000 0.319
0.500 0.000 0.000
0.681 0.319 0.000
0.000 0.000 0.500
0.000 0.681 0.319
0.344 0.835 0.344
0.165 0.656 0.656
0.656 0.656 0.165
0.656 0.165 0.656
0.344 0.344 0.835
0.900 0.900 0.900
0.100 0.100 0.100
0.382 0.382 0.382
0.618 0.618 0.618
```

Calculated density   8.66 Mg/m³
Calculated volume   233 Å³ per cell
ΔE_f   0.20 eV/atom

# 19
Entry from Alexandria via LeMat-Bulk: CuNi3Rh6 after structural relaxation (PBE).

The structure in POSCAR format:
```
CuNi3Rh6
1.0
-6.838 0.346 1.754
-0.970 -5.975 -2.604
1.642 0.114 6.381
Rh Ni Cu
12 6 2
direct
0.122 0.717 0.283
0.622 0.283 0.717
0.793 0.875 0.499
0.115 0.291 0.108
0.293 0.499 0.875
0.615 0.108 0.291
0.115 0.892 0.709
0.796 0.067 0.933
0.296 0.933 0.067
0.293 0.125 0.501
0.615 0.709 0.892
0.793 0.501 0.125
0.832 0.487 0.513
0.968 0.705 0.926
0.332 0.513 0.487
0.468 0.295 0.074
0.468 0.926 0.705
0.968 0.074 0.295
0.482 0.720 0.280
0.982 0.280 0.720
```

Calculated density   10.30 Mg/m³
Calculated volume   276 Å³ per cell
ΔE_f   0.26 eV/atom

# 20
Entry from Alexandria via LeMat-Bulk: CuNiSbRh after structural relaxation (PBE).

The structure in POSCAR format:
```
CuNiSbRh
1.0
4.335 0.000 0.000
2.167 3.754 0.000
2.167 1.251 3.539
Sb Rh Cu Ni
1 1 1 1
direct
0.750 0.750 0.750
0.500 0.500 0.500
0.250 0.250 0.250
0.000 0.000 0.000
```

DFT total energy   -5.4919 eV/atom
Calculated density   10.00 Mg/m³
Calculated volume   58 Å³ per cell

# 21
Entry from Alexandria via LeMat-Bulk: ScCuNiRh after structural relaxation (PBE).

The structure in POSCAR format:
```
ScCuNiRh
1.0
-2.963 -1.604 -2.701
-2.418 -3.370 1.202
-4.201 0.546 0.834
Rh Cu Sc Ni
1 1 1 1
direct
0.750 0.750 0.750
0.500 0.500 0.500
0.000 0.000 0.000
0.250 0.250 0.250
```

Calculated density   7.88 Mg/m³
Calculated volume   57 Å³ per cell
ΔE_f   -0.40 eV/atom

# 22
Entry from Alexandria via LeMat-Bulk: ScCuNiRh after structural relaxation (PBE).

The structure in POSCAR format:
```
ScCuNiRh
1.0
3.656 0.000 0.000
0.000 3.878 0.000
0.000 0.000 3.953
Rh Ni Cu Sc
1 1 1 1
direct
0.500 0.000 0.500
0.500 0.500 0.000
0.000 0.000 0.000
0.000 0.500 0.500
```

Calculated density   8.00 Mg/m³
Calculated volume   56 Å³ per cell
ΔE_f   -0.48 eV/atom

# 23
Entry from Alexandria via LeMat-Bulk: CuSiNiRh after structural relaxation (PBE).

The structure in POSCAR format:
```
CuSiNiRh
1.0
4.093 0.000 0.000
2.046 3.544 0.000
2.046 1.181 3.342
Rh Ni Cu Si
1 1 1 1
direct
0.000 0.000 0.000
0.500 0.500 0.500
0.250 0.250 0.250
0.750 0.750 0.750
```

DFT total energy   -6.0571 eV/atom
Calculated density   8.67 Mg/m³
Calculated volume   48 Å³ per cell

# 24
Entry from Alexandria via LeMat-Bulk: TaCuNiRh after structural relaxation (PBE).

The structure in POSCAR format:
```
TaCuNiRh
1.0
3.842 0.000 0.000
0.000 3.842 0.000
-1.921 -1.921 3.701
Cu Ta Ni Rh
1 1 1 1
direct
0.250 0.750 0.500
0.750 0.250 0.500
0.000 0.000 0.000
0.500 0.500 0.000
```

Calculated density   12.34 Mg/m³
Calculated volume   55 Å³ per cell
ΔE_f   -0.35 eV/atom